Density functional theory data (PBE with a Hubbard U) for a geometry-optimized TaCrI2O structure.

Cell and atoms, written as POSCAR:
```
TaCrI2O
1.0
5.705 0.000 0.000
0.000 5.705 0.000
0.000 0.000 3.609
Ta Cr I O
1 1 2 1
Direct
0.000 0.000 0.000
0.500 0.500 0.500
0.000 0.500 0.500
0.500 0.000 0.500
0.500 0.500 0.000
```

Results
excess energy over the best structure of this formula in the dataset: 710 meV per atom
electronic total energy: -5.22 eV/atom
SG: P4/mmm (123)